(1)
Computed, not measured: a relaxed RbDyPdS3 crystal at the PBE level of DFT.

Summary:
offset from the most stable computed form = 0.020 eV per atom
M_tot = 0.007 μB per formula unit
ρ = 4.77 Mg/m³
V = 156.7 Å³/f.u.

Cell and atoms, written as POSCAR:
```
RbDyPdS3
1.0
2.0344 -7.7673 0.0000
2.0344 7.7673 0.0000
0.0000 0.0000 9.9177
Dy Pd Rb S
2 2 2 6
Cartesian
0.0000 0.0000 0.0000
0.0000 0.0000 4.9588
2.0344 -0.1062 2.4794
2.0344 0.1062 7.4383
2.0344 3.9387 2.4794
2.0344 -3.9387 7.4383
2.0344 -1.7185 0.7298
2.0344 -6.4936 2.4794
2.0344 -1.7185 4.2291
2.0344 1.7185 5.6886
2.0344 6.4936 7.4383
2.0344 1.7185 9.1879
```



(2)
Computed, not measured: a relaxed LuMgZrCo crystal at the PBE level of DFT.

Summary:
offset from the most stable computed form = 0.000 eV per atom
M_tot = 0.005 μB per formula unit
ρ = 7.44 Mg/m³
V = 78.0 Å³/f.u.

Cell and atoms, written as POSCAR:
```
LuMgZrCo
1.0
0.2630 -3.8984 -2.7795
-3.9044 -1.5768 -2.2939
-0.3173 0.4273 -4.7654
Co Lu Mg Zr
1 1 1 1
Cartesian
-0.9897 -1.2620 -2.4597
-1.9794 -2.5240 -4.9194
-2.9691 -3.7860 -7.3791
0.0000 0.0000 0.0000
```



(3)
Computed, not measured: a relaxed GdHoZnNi2 crystal at the PBE level of DFT.

Summary:
M_tot = 0.001 μB per formula unit
ρ = 9.09 Mg/m³
V = 92.2 Å³/f.u.
energy of formation from the pure elements = -2.33 eV per formula unit

Cell and atoms, written as POSCAR:
```
GdHoZnNi2
1.0
-3.9459 2.8483 2.0710
0.9434 4.6112 -2.4122
-1.0479 -4.8476 -1.8369
Gd Ho Ni Zn
1 1 2 1
Cartesian
-0.9419 2.0920 -2.2257
-3.1079 0.5182 0.0476
-2.6475 3.2715 -0.1169
-1.4034 -0.6585 -2.0613
0.0000 0.0000 0.0000
```



(4)
Computed, not measured: a relaxed Pm2Pt crystal at the PBE level of DFT.

Summary:
offset from the most stable computed form = 1.352 eV per atom
M_tot = 0.744 μB per formula unit
ρ = 3.29 Mg/m³
V = 244.6 Å³/f.u.
energy of formation from the pure elements = 1.86 eV per formula unit

Cell and atoms, written as POSCAR:
```
Pm2Pt
1.0
-5.4309 -6.4369 2.7009
3.1801 -6.7922 4.6879
-2.0114 -0.7802 8.5773
Pm Pt
4 2
Cartesian
-4.3137 -8.4720 7.3377
-0.0083 -8.6496 8.3312
-1.5983 -5.2535 5.9873
-2.6040 -5.6436 10.2759
-1.0655 -3.5023 3.9915
-2.1311 -7.0046 7.9830
```



(5)
Computed, not measured: a relaxed Y2AsOs crystal at the PBE level of DFT.

Summary:
M_tot = 0.002 μB per formula unit
ρ = 9.19 Mg/m³
DFT total energy = -7.274 eV/atom
V = 80.0 Å³/f.u.

Cell and atoms, written as POSCAR:
```
Y2AsOs
1.0
-4.5050 0.6247 1.6473
-1.8100 4.4622 0.4601
-3.4817 1.5185 -2.9952
As Os Y
1 1 2
Cartesian
-4.8984 3.3027 -0.4439
-2.4492 1.6513 -0.2219
0.0000 0.0000 0.0000
-7.3475 4.9540 -0.6658
```



(6)
Computed, not measured: a relaxed NdAgPt4 crystal at the PBE level of DFT.

Summary:
M_tot = 0.004 μB per formula unit
ρ = 15.34 Mg/m³
V = 111.8 Å³/f.u.
energy of formation from the pure elements = -4.28 eV per formula unit

Cell and atoms, written as POSCAR:
```
NdAgPt4
1.0
3.1318 -4.4076 -0.0185
-2.2394 -4.9060 -0.3887
0.5804 -2.8850 -4.5359
Ag Nd Pt
1 1 4
Cartesian
0.0000 0.0000 0.0000
1.1046 -9.1490 -3.7073
2.1239 -6.7811 -1.8604
-0.5728 -7.0313 -2.0463
0.5515 -4.5682 -1.8511
0.8429 -6.0167 -4.1285
```



(7)
Computed, not measured: a relaxed GdEr2TmTl2 crystal at the PBE level of DFT.

Summary:
M_tot = 1.212 μB per formula unit
ρ = 10.68 Mg/m³
DFT total energy = -4.079 eV/atom
V = 166.2 Å³/f.u.

Cell and atoms, written as POSCAR:
```
GdEr2TmTl2
1.0
-3.2285 3.3278 2.7006
1.5643 -4.6210 2.2339
5.3249 3.0582 2.5974
Er Gd Tl Tm
2 1 2 1
Cartesian
1.3229 -1.1925 3.0510
3.9354 0.3078 4.3253
0.0000 0.0000 0.0000
-1.6309 0.6782 2.5450
2.6625 1.5291 1.2987
1.0315 2.2073 3.8437
```



(8)
Computed, not measured: a relaxed TbGdMg2Au4 crystal at the PBE level of DFT.

Summary:
M_tot = 0.020 μB per formula unit
ρ = 11.61 Mg/m³
DFT total energy = -3.953 eV/atom
V = 164.9 Å³/f.u.

Cell and atoms, written as POSCAR:
```
TbGdMg2Au4
1.0
-2.7742 -1.9374 3.5234
-1.2318 -3.6653 -2.9853
5.4140 -3.6547 2.2532
Au Gd Mg Tb
4 1 2 1
Cartesian
-0.0345 -1.8817 2.3246
0.7367 -2.7457 -0.9298
2.6744 -3.7103 3.4520
3.4456 -4.5743 0.1976
2.7070 -1.8273 1.1266
0.0000 0.0000 0.0000
0.7040 -4.6287 1.3956
-2.0030 -2.8014 0.2690
```



(9)
Computed, not measured: a relaxed Hf2MoAu crystal at the PBE level of DFT.

Summary:
M_tot = 0.006 μB per formula unit
ρ = 14.33 Mg/m³
V = 75.3 Å³/f.u.
energy of formation from the pure elements = -1.51 eV per formula unit

Cell and atoms, written as POSCAR:
```
Hf2MoAu
1.0
3.3925 0.0000 0.0000
0.0000 3.3925 0.0000
0.0000 0.0000 6.5448
Au Hf Mo
1 2 1
Cartesian
0.0000 0.0000 3.2724
1.6962 1.6962 1.5376
1.6962 1.6962 5.0072
0.0000 0.0000 0.0000
```



(10)
Computed, not measured: a relaxed RbYCoSe3 crystal at the PBE level of DFT.

Summary:
M_tot = 2.070 μB per formula unit
ρ = 4.45 Mg/m³
DFT total energy = -5.341 eV/atom
V = 175.3 Å³/f.u.

Cell and atoms, written as POSCAR:
```
RbYCoSe3
1.0
-1.1397 -2.7402 -8.8537
-3.3880 -1.9593 1.0425
-4.5241 8.6737 1.5983
Co Rb Se Y
2 2 6 2
Cartesian
-1.3429 0.0904 -0.2606
-7.7090 3.8838 -5.9523
-4.6165 -1.3631 -5.7630
-4.4354 5.3372 -0.4498
-2.9291 -1.6427 -0.8051
-2.9779 0.9725 -3.9163
-2.5218 2.2011 -0.1251
-6.5300 1.7731 -6.0877
-6.0739 3.0017 -2.2965
-6.1227 5.6168 -5.4078
-4.5352 0.7493 -1.5290
-4.5167 3.2249 -4.6839
```



(11)
Computed, not measured: a relaxed La2TmIn3AgPd2 crystal at the PBE level of DFT.

Summary:
M_tot = 0.018 μB per formula unit
ρ = 8.61 Mg/m³
DFT total energy = -4.649 eV/atom
V = 214.5 Å³/f.u.

Cell and atoms, written as POSCAR:
```
La2TmIn3AgPd2
1.0
-3.4522 0.9467 -1.7552
-2.5219 -7.4003 0.9689
-1.3680 5.3784 5.5915
Ag In La Pd Tm
1 3 2 2 1
Cartesian
-1.7363 0.4680 -0.8604
-0.6732 -1.8996 0.2996
-0.3796 1.3524 1.4760
-2.8475 -1.4801 4.8025
-3.2084 -3.8707 -0.3051
-2.5313 3.6283 2.4077
-2.1222 -3.0640 2.5215
-1.7506 1.0509 4.0101
-3.3249 -0.3577 1.8188
```



(12)
Computed, not measured: a relaxed PrPaAsO crystal at the PBE level of DFT.

Summary:
offset from the most stable computed form = 0.019 eV per atom
M_tot = 1.034 μB per formula unit
ρ = 8.94 Mg/m³
V = 86.0 Å³/f.u.

Cell and atoms, written as POSCAR:
```
PrPaAsO
1.0
-2.9179 -3.0960 -0.3828
0.3548 -0.8501 4.1710
-6.8413 6.2190 1.8495
As O Pa Pr
2 2 2 2
Cartesian
-1.6396 1.2267 2.5767
-6.4832 3.0192 1.1669
0.0000 0.0000 0.0000
-1.2815 -1.9731 1.8941
-2.3110 -0.7735 0.0389
-5.8119 5.0195 3.7047
-3.4207 3.1095 0.9247
-4.7022 1.1364 2.8189
```



(13)
Computed, not measured: a relaxed NdDy2Ga3Cu2Ni crystal at the PBE level of DFT.

Summary:
M_tot = 0.005 μB per formula unit
ρ = 8.41 Mg/m³
DFT total energy = -4.515 eV/atom
V = 170.6 Å³/f.u.

Cell and atoms, written as POSCAR:
```
NdDy2Ga3Cu2Ni
1.0
-0.7124 3.9440 0.3633
-4.2205 -1.2604 5.4073
6.7876 1.1205 1.1458
Cu Dy Ga Nd Ni
2 2 3 1 1
Cartesian
-0.9678 1.4940 4.1713
2.8085 2.3108 2.7094
-1.4356 -0.7999 5.8695
5.0506 0.6030 3.3586
-3.5732 1.0079 4.3402
0.2392 1.9396 1.7016
4.8427 2.8281 1.0822
1.5076 -0.0821 3.8485
0.0154 -0.0008 0.0394
```



(14)
Computed, not measured: a relaxed KBeAu crystal at the PBE level of DFT.

Summary:
offset from the most stable computed form = 0.422 eV per atom
ρ = 3.93 Mg/m³
V = 103.6 Å³/f.u.

Cell and atoms, written as POSCAR:
```
KBeAu
1.0
0.0000 3.7281 3.7281
3.7281 0.0000 3.7281
3.7281 3.7281 0.0000
Au Be K
1 1 1
Cartesian
1.8641 1.8641 1.8641
5.5922 5.5922 5.5922
0.0000 0.0000 0.0000
```



(15)
Computed, not measured: a relaxed Nd2CuSi2Pd crystal at the PBE level of DFT.

Summary:
M_tot = 0.000 μB per formula unit
ρ = 6.75 Mg/m³
DFT total energy = -5.636 eV/atom
V = 126.6 Å³/f.u.

Cell and atoms, written as POSCAR:
```
Nd2CuSi2Pd
1.0
4.1933 0.0000 0.0000
-2.0967 3.6315 0.0000
0.0000 0.0000 8.3155
Cu Nd Pd Si
1 2 1 2
Cartesian
0.0000 0.0000 4.1577
2.0967 1.2105 2.0874
2.0967 1.2105 6.2281
0.0000 2.4210 0.0000
0.0000 0.0000 0.0000
0.0000 2.4210 4.1577
```



(16)
Computed, not measured: a relaxed ErCd2 crystal at the PBE level of DFT.

Summary:
M_tot = 0.010 μB per formula unit
ρ = 9.15 Mg/m³
V = 71.2 Å³/f.u.
energy of formation from the pure elements = -0.93 eV per formula unit

Cell and atoms, written as POSCAR:
```
ErCd2
1.0
-0.0917 1.8459 2.8326
2.1050 -3.7018 2.4805
7.7180 3.1696 -1.8194
Cd Er
4 2
Cartesian
2.2926 -0.4100 2.3382
2.5259 1.9893 0.8252
5.1004 3.0263 0.1880
7.4387 1.7237 1.1554
0.0000 0.0000 0.0000
4.9115 -0.2661 0.3305
```



(17)
Computed, not measured: a relaxed Te2PdO5 crystal at the PBE level of DFT.

Summary:
ρ = 6.45 Mg/m³
DFT total energy = -5.316 eV/atom
V = 113.7 Å³/f.u.

Cell and atoms, written as POSCAR:
```
Te2PdO5
1.0
6.0832 -2.7564 0.0000
6.0832 2.7564 0.0000
-2.3906 0.0000 6.7811
O Pd Te
10 2 4
Cartesian
7.7176 -1.4952 0.1878
7.4194 1.4235 0.8335
5.4856 -0.4468 1.6953
3.5518 1.4235 2.5570
3.2536 -1.4952 3.2027
6.5223 1.4952 3.5784
6.2241 -1.4235 4.2241
4.2903 0.4468 5.0858
2.3566 -1.4235 5.9475
2.0583 1.4952 6.5932
0.0000 0.0000 0.0000
-1.1953 0.0000 3.3905
3.7700 0.1986 1.0987
7.2012 0.1986 2.2918
2.5747 -0.1986 4.4892
6.0059 -0.1986 5.6824
```



(18)
Computed, not measured: a relaxed HfTlAuS3 crystal at the PBE level of DFT.

Summary:
offset from the most stable computed form = 0.000 eV per atom
M_tot = 0.000 μB per formula unit
ρ = 7.83 Mg/m³
V = 143.3 Å³/f.u.

Cell and atoms, written as POSCAR:
```
HfTlAuS3
1.0
8.4872 0.0000 0.0000
0.0000 3.7394 0.0000
-3.6666 0.0000 9.0330
Au Hf S Tl
2 2 6 2
Cartesian
3.8642 0.9348 1.0367
0.9564 2.8046 7.9962
5.6764 2.8046 3.0384
-0.8558 0.9348 5.9945
6.3508 2.8046 0.6490
-1.0469 0.9348 3.3587
3.9509 0.9348 3.4144
0.8696 2.8046 5.6185
5.8675 2.8046 5.6743
-1.5303 0.9348 8.3840
1.1151 2.8046 1.7865
3.7055 0.9348 7.2465
```



(19)
Computed, not measured: a relaxed CsAg2Cl3 crystal at the PBE level of DFT.

Summary:
ρ = 4.02 Mg/m³
DFT total energy = -2.975 eV/atom
V = 188.1 Å³/f.u.

Cell and atoms, written as POSCAR:
```
CsAg2Cl3
1.0
4.9690 -6.4994 0.0000
4.9690 6.4994 0.0000
0.0000 0.0000 5.8249
Ag Cl Cs
4 6 2
Cartesian
3.0878 0.0000 0.0000
6.8502 0.0000 0.0000
3.0878 0.0000 2.9125
6.8502 0.0000 2.9125
2.0173 -1.7896 1.4562
4.9690 1.4045 1.4562
7.9207 -1.7896 1.4562
2.0173 1.7896 4.3687
4.9690 -1.4045 4.3687
7.9207 1.7896 4.3687
4.9690 -3.7951 1.4562
4.9690 3.7951 4.3687
```



(20)
Computed, not measured: a relaxed TlFePbS3 crystal at the PBE level of DFT.

Summary:
M_tot = 1.361 μB per formula unit
ρ = 5.66 Mg/m³
DFT total energy = -4.796 eV/atom
V = 165.3 Å³/f.u.

Cell and atoms, written as POSCAR:
```
TlFePbS3
1.0
-0.8420 -7.9350 -2.5383
1.9372 0.8231 -3.2156
9.0926 0.1829 5.5244
Fe Pb S Tl
2 2 6 2
Cartesian
3.8787 -3.2676 0.3519
6.3090 -3.6613 -0.5814
2.4935 -0.7176 -2.1265
7.6943 -6.2113 1.8970
0.9876 -7.1172 -2.3751
2.0797 -3.4392 -0.7758
5.1528 -1.8825 -0.8227
5.0350 -5.0465 0.5932
8.1080 -3.4898 0.5462
9.2002 0.1883 2.1456
3.4847 -5.4280 -2.7351
6.7030 -1.5009 2.5056
```



(21)
Computed, not measured: a relaxed Ho2Fe3Si2 crystal at the PBE level of DFT.

Summary:
M_tot = 4.759 μB per formula unit
ρ = 7.98 Mg/m³
DFT total energy = -6.844 eV/atom
V = 115.2 Å³/f.u.

Cell and atoms, written as POSCAR:
```
Ho2Fe3Si2
1.0
1.3895 4.9972 1.3367
-1.5714 3.5614 3.6792
3.9449 -3.7575 2.6833
Fe Ho Si
3 2 2
Cartesian
0.0000 0.0000 0.0000
0.3991 1.9571 1.7040
3.3640 2.8440 5.9952
1.1671 4.0208 3.9397
2.5959 0.7803 3.7595
0.9830 6.5483 5.2562
2.7800 -1.7472 2.4430
```



(22)
Computed, not measured: a relaxed AlAg2Pt crystal at the PBE level of DFT.

Summary:
M_tot = 0.001 μB per formula unit
ρ = 11.24 Mg/m³
DFT total energy = -4.143 eV/atom
V = 64.7 Å³/f.u.

Cell and atoms, written as POSCAR:
```
AlAg2Pt
1.0
4.0668 -0.8524 1.7432
0.3535 -1.8757 4.0818
1.4296 -4.2536 0.4087
Ag Al Pt
2 1 1
Cartesian
0.0000 0.0000 0.0000
4.3874 -5.2363 4.6753
2.9249 -3.4909 3.1169
1.4625 -1.7454 1.5584
```



(23)
Computed, not measured: a relaxed HoHBrCl crystal at the PBE level of DFT.

Summary:
M_tot = 0.000 μB per formula unit
ρ = 5.27 Mg/m³
DFT total energy = -4.507 eV/atom
V = 88.6 Å³/f.u.

Cell and atoms, written as POSCAR:
```
HoHBrCl
1.0
-1.6555 -1.8175 2.8462
1.4647 -1.9385 -2.8708
12.6811 -0.6893 6.9356
Br Cl H Ho
2 2 2 2
Cartesian
4.1895 -2.1191 3.5684
8.3010 -2.3263 3.3426
0.9906 -1.9452 1.8189
11.4998 -2.5002 5.0921
3.5570 -2.0685 0.7480
8.9334 -2.3769 6.1630
3.1156 -0.1694 1.7040
9.5656 -0.5200 5.2316
```



(24)
Computed, not measured: a relaxed CsTbZnS3 crystal at the PBE level of DFT.

Summary:
M_tot = 0.003 μB per formula unit
ρ = 4.32 Mg/m³
DFT total energy = -4.686 eV/atom
V = 174.4 Å³/f.u.

Cell and atoms, written as POSCAR:
```
CsTbZnS3
1.0
9.3024 0.0000 0.0000
0.0000 4.0491 0.0000
-3.6372 0.0000 9.2596
Cs S Tb Zn
2 6 2 2
Cartesian
1.1615 1.0123 2.2828
4.5036 3.0368 6.9768
7.6312 3.0368 1.3541
3.8768 3.0368 1.3998
5.9164 1.0123 4.1958
-0.2512 3.0368 5.0638
1.7883 1.0123 7.8598
-1.9660 1.0123 7.9055
5.7280 1.0123 1.2798
-0.0629 3.0368 7.9798
7.1212 3.0368 3.5999
-1.4560 1.0123 5.6597
```



(25)
Computed, not measured: a relaxed PaTeNO crystal at the PBE level of DFT.

Summary:
offset from the most stable computed form = 0.255 eV per atom
M_tot = 0.000 μB per formula unit
ρ = 7.42 Mg/m³
V = 86.9 Å³/f.u.

Cell and atoms, written as POSCAR:
```
PaTeNO
1.0
3.7150 0.0000 0.0000
0.0000 6.7518 0.0000
0.0000 0.0000 6.9325
O Pa Te N
2 2 2 2
Cartesian
1.8575 3.1427 1.3309
1.8575 6.5186 5.6016
0.0000 3.2031 2.4011
0.0000 6.5790 4.5314
1.8575 0.0940 1.9157
1.8575 3.4699 5.0168
0.0000 5.4028 2.6197
0.0000 2.0269 4.3128
```